No. 1
CdRh2W: relaxed, PBE.

Cell: 2.8204 2.8204 27.8901 Å, 90.00 90.00 120.00°
Closest atoms and distances in Å follow each position.
Atoms (fractional coordinates):
Cd (0.0000, 0.0000, 0.0000)  6 Cd 2.82, 3 Rh 2.83, 3 W 3.07
Cd (0.3333, 0.6667, 0.6667)  6 Cd 2.82, 3 Rh 2.83, 3 W 3.07
Cd (0.6667, 0.3333, 0.3333)  6 Cd 2.82, 3 Rh 2.83, 3 W 3.07
Rh (0.0000, 0.0000, 0.4982)  3 W 2.66, 9 Rh 2.80-2.82
Rh (0.0000, 0.0000, 0.7497)  9 Rh 2.80-2.82, 3 Cd 2.83
Rh (0.3333, 0.6667, 0.1648)  3 W 2.66, 9 Rh 2.80-2.82
Rh (0.3333, 0.6667, 0.4164)  9 Rh 2.80-2.82, 3 Cd 2.83
Rh (0.6667, 0.3333, 0.0830)  9 Rh 2.80-2.82, 3 Cd 2.83
Rh (0.6667, 0.3333, 0.8315)  3 W 2.66, 9 Rh 2.80-2.82
W (0.0000, 0.0000, 0.2401)  3 Rh 2.66, 6 W 2.82
W (0.3333, 0.6667, 0.9068)  3 Rh 2.66, 6 W 2.82
W (0.6667, 0.3333, 0.5735)  3 Rh 2.66, 6 W 2.82

Results
Formation energy, eV/atom: 0.137
Distance to the lowest polymorph of the same formula, kJ/mol of atoms: 32.7


No. 2
CdRh2W: relaxed, PBE.

Cell: 7.1651 7.1651 5.6732 Å, 90.00 90.00 90.00°
Closest atoms and distances in Å follow each position.
Atoms (fractional coordinates):
Cd (0.0000, 0.0000, 0.0000)  2 W 2.84, 8 Rh 2.86-3.15
Cd (0.0000, 0.5000, 0.2500)  2 W 2.84, 8 Rh 2.86-3.15
Cd (0.5000, 0.0000, 0.7500)  2 W 2.84, 8 Rh 2.86-3.15
Cd (0.5000, 0.5000, 0.5000)  2 W 2.84, 8 Rh 2.86-3.15
Rh (0.2057, 0.7500, 0.6250)  2 W 2.43
Rh (0.2500, 0.2057, 0.3750)  2 W 2.43
Rh (0.2500, 0.2943, 0.8750)  2 W 2.43
Rh (0.2943, 0.7500, 0.1250)  2 W 2.43
Rh (0.7057, 0.2500, 0.1250)  2 W 2.43
Rh (0.7500, 0.7057, 0.8750)  2 W 2.43
Rh (0.7500, 0.7943, 0.3750)  2 W 2.43
Rh (0.7943, 0.2500, 0.6250)  2 W 2.43
W (0.0000, 0.0000, 0.5000)  4 Rh 2.43
W (0.0000, 0.5000, 0.7500)  4 Rh 2.43
W (0.5000, 0.0000, 0.2500)  4 Rh 2.43
W (0.5000, 0.5000, 0.0000)  4 Rh 2.43

Results
Formation energy, eV/atom: 0.439
Distance to the lowest polymorph of the same formula, kJ/mol of atoms: 61.8


No. 3
Cd2RhW: relaxed, PBE.

Cell: 5.5195 9.5966 2.8097 Å, 90.00 110.58 90.00°
Closest atoms and distances in Å follow each position.
Atoms (fractional coordinates):
Cd (0.2500, 0.2500, 0.0000)  4 Cd 2.76-2.81, 2 Rh 2.88, 2 W 2.88
Cd (0.2500, 0.7500, 0.0000)  4 Cd 2.76-2.81, 2 W 2.88, 2 Rh 2.88
Cd (0.7500, 0.2500, 0.0000)  4 Cd 2.76-2.81, 2 W 2.88, 2 Rh 2.88
Cd (0.7500, 0.7500, 0.0000)  4 Cd 2.76-2.81, 2 W 2.88, 2 Rh 2.88
Rh (0.0000, 0.0000, 0.5000)  2 W 2.76, 2 Rh 2.81, 4 Cd 2.88
Rh (0.5000, 0.5000, 0.5000)  2 W 2.76, 2 Rh 2.81, 4 Cd 2.88
W (0.0000, 0.5000, 0.5000)  2 Rh 2.76, 2 W 2.81, 4 Cd 2.88
W (0.5000, 0.0000, 0.5000)  2 Rh 2.76, 2 W 2.81, 4 Cd 2.88

Results
Formation energy, eV/atom: 0.434
Distance to the lowest polymorph of the same formula, kJ/mol of atoms: 34.9


No. 4
CdRh2W: relaxed, PBE.

Cell: 5.9003 7.5459 2.8343 Å, 90.00 90.00 90.00°
Closest atoms and distances in Å follow each position.
Atoms (fractional coordinates):
Cd (0.0000, 0.0000, 0.0000)  8 Rh 2.78, 2 Cd 2.83, 2 W 2.95
Cd (0.5000, 0.5000, 0.0000)  8 Rh 2.78, 2 Cd 2.83, 2 W 2.95
Rh (0.2500, 0.2500, 0.5000)  4 Cd 2.78, 4 W 2.78, 4 Rh 2.83-2.95
Rh (0.2500, 0.7500, 0.5000)  4 Cd 2.78, 4 W 2.78, 4 Rh 2.83-2.95
Rh (0.7500, 0.2500, 0.5000)  4 W 2.78, 4 Cd 2.78, 4 Rh 2.83-2.95
Rh (0.7500, 0.7500, 0.5000)  4 Cd 2.78, 4 W 2.78, 4 Rh 2.83-2.95
W (0.0000, 0.5000, 0.0000)  8 Rh 2.78, 2 W 2.83, 2 Cd 2.95
W (0.5000, 0.0000, 0.0000)  8 Rh 2.78, 2 W 2.83, 2 Cd 2.95

Results
Formation energy, eV/atom: 0.050
Distance to the lowest polymorph of the same formula, kJ/mol of atoms: 24.3


No. 5
CdRh2W: relaxed, PBE.

Cell: 2.8162 4.1710 5.4485 Å, 90.00 90.00 90.00°
Closest atoms and distances in Å follow each position.
Atoms (fractional coordinates):
Cd (0.0000, 0.0000, 0.0000)  6 Rh 2.70-2.81, 2 Cd 2.82, 4 W 3.02
Rh (0.0000, 0.0000, 0.5042)  2 Cd 2.70-2.75, 4 W 2.72, 6 Rh 2.82-2.93
Rh (0.5000, 0.5000, 0.2279)  1 W 2.53, 4 Cd 2.81, 2 Rh 2.82
W (0.5000, 0.5000, 0.6920)  5 Rh 2.53-2.72, 2 W 2.82

Results
Formation energy, eV/atom: 0.111
Distance to the lowest polymorph of the same formula, kJ/mol of atoms: 30.2


No. 6
CdRh4W: relaxed, PBE.

Cell: 5.1176 5.1176 5.1176 Å, 60.00 60.00 60.00°
Closest atoms and distances in Å follow each position.
Atoms (fractional coordinates):
Cd (0.0000, 0.0000, 0.0000)  12 Rh 3.00, 4 W 3.13
Rh (0.3748, 0.3748, 0.3748)  6 Rh 2.55-2.56
Rh (0.3748, 0.3748, 0.8756)  6 Rh 2.55-2.56
Rh (0.3748, 0.8756, 0.3748)  6 Rh 2.55-2.56
Rh (0.8756, 0.3748, 0.3748)  6 Rh 2.55-2.56
W (0.7500, 0.7500, 0.7500)  12 Rh 3.00, 4 Cd 3.13

Results
Formation energy, eV/atom: 0.213


No. 7
Cd2RhW: relaxed, PBE.

Cell: 2.8257 4.7786 5.2064 Å, 90.00 98.98 90.00°
Closest atoms and distances in Å follow each position.
Atoms (fractional coordinates):
Cd (0.2024, 0.0000, 0.2559)  5 Cd 2.73-2.95, 2 Rh 2.81, 2 W 2.92
Cd (0.7976, 0.0000, 0.7441)  5 Cd 2.73-2.95, 2 Rh 2.81, 2 W 2.92
Rh (0.0000, 0.5000, 0.5000)  2 W 2.76, 4 Cd 2.81, 2 Rh 2.83
W (0.5000, 0.5000, 0.0000)  2 Rh 2.76, 2 W 2.83, 4 Cd 2.92

Results
Formation energy, eV/atom: 0.413
Distance to the lowest polymorph of the same formula, kJ/mol of atoms: 32.9


No. 8
Cd2RhW: relaxed, PBE.

Cell: 2.8699 4.8803 9.9904 Å, 90.00 90.00 90.00°
Closest atoms and distances in Å follow each position.
Atoms (fractional coordinates):
Cd (0.0000, 0.0000, 0.2389)  2 Rh 2.78, 6 Cd 2.84-2.87, 2 W 2.98
Cd (0.0000, 0.0000, 0.7611)  2 Rh 2.78, 6 Cd 2.84-2.87, 2 W 2.98
Cd (0.5000, 0.5000, 0.2611)  2 Rh 2.78, 6 Cd 2.84-2.87, 2 W 2.98
Cd (0.5000, 0.5000, 0.7389)  2 Rh 2.78, 6 Cd 2.84-2.87, 2 W 2.98
Rh (0.0000, 0.5000, 0.5000)  4 Cd 2.78, 4 W 2.83, 2 Rh 2.87
Rh (0.5000, 0.0000, 0.0000)  4 Cd 2.78, 4 W 2.83, 2 Rh 2.87
W (0.0000, 0.5000, 0.0000)  4 Rh 2.83, 2 W 2.87, 4 Cd 2.98
W (0.5000, 0.0000, 0.5000)  4 Rh 2.83, 2 W 2.87, 4 Cd 2.98

Results
Formation energy, eV/atom: 0.407
Distance to the lowest polymorph of the same formula, kJ/mol of atoms: 32.4


No. 9
CdRh2W: relaxed, PBE.

Cell: 3.8263 3.8263 8.5969 Å, 90.00 90.00 90.00°
Closest atoms and distances in Å follow each position.
Atoms (fractional coordinates):
Cd (0.0000, 0.0000, 0.0000)  8 Rh 2.71-2.88, 4 W 2.88
Cd (0.5000, 0.5000, 0.5000)  8 Rh 2.71-2.88, 4 W 2.88
Rh (0.0000, 0.0000, 0.5000)  4 Cd 2.71, 4 W 2.88, 4 Rh 2.88
Rh (0.0000, 0.5000, 0.7500)  4 W 2.71, 4 Cd 2.88, 4 Rh 2.88
Rh (0.5000, 0.0000, 0.2500)  4 W 2.71, 4 Cd 2.88, 4 Rh 2.88
Rh (0.5000, 0.5000, 0.0000)  4 Cd 2.71, 4 W 2.88, 4 Rh 2.88
W (0.0000, 0.5000, 0.2500)  8 Rh 2.71-2.88, 4 Cd 2.88
W (0.5000, 0.0000, 0.7500)  8 Rh 2.71-2.88, 4 Cd 2.88

Results
Formation energy, eV/atom: 0.143
Distance to the lowest polymorph of the same formula, kJ/mol of atoms: 33.3


No. 10
CdRh2W: relaxed, PBE.

Cell: 2.8593 3.6683 6.0990 Å, 90.00 90.00 90.00°
Closest atoms and distances in Å follow each position.
Atoms (fractional coordinates):
Cd (0.0000, 0.0000, 0.0000)  2 Cd 2.86, 8 Rh 2.86, 2 W 3.05
Rh (0.5000, 0.5000, 0.2730)  4 W 2.71, 3 Rh 2.77-2.86, 4 Cd 2.86
Rh (0.5000, 0.5000, 0.7270)  4 W 2.71, 3 Rh 2.77-2.86, 4 Cd 2.86
W (0.0000, 0.0000, 0.5000)  8 Rh 2.71, 2 W 2.86

Results
Formation energy, eV/atom: -0.084
Distance to the lowest polymorph of the same formula, kJ/mol of atoms: 11.5


No. 11
CdRh2W: relaxed, PBE.

Cell: 6.3473 6.3473 6.3473 Å, 90.00 90.00 90.00°
Closest atoms and distances in Å follow each position.
Atoms (fractional coordinates):
Cd (0.0000, 0.0000, 0.0000)  4 W 2.75, 4 Rh 2.75
Cd (0.0000, 0.5000, 0.5000)  4 W 2.75, 4 Rh 2.75
Cd (0.5000, 0.0000, 0.5000)  4 W 2.75, 4 Rh 2.75
Cd (0.5000, 0.5000, 0.0000)  4 W 2.75, 4 Rh 2.75
Rh (0.0000, 0.0000, 0.5000)  4 W 2.75, 4 Rh 2.75
Rh (0.0000, 0.5000, 0.0000)  4 W 2.75, 4 Rh 2.75
Rh (0.2500, 0.2500, 0.7500)  4 Cd 2.75, 4 Rh 2.75
Rh (0.2500, 0.7500, 0.2500)  4 Cd 2.75, 4 Rh 2.75
Rh (0.5000, 0.0000, 0.0000)  4 W 2.75, 4 Rh 2.75
Rh (0.5000, 0.5000, 0.5000)  4 W 2.75, 4 Rh 2.75
Rh (0.7500, 0.2500, 0.2500)  4 Cd 2.75, 4 Rh 2.75
Rh (0.7500, 0.7500, 0.7500)  4 Cd 2.75, 4 Rh 2.75
W (0.2500, 0.2500, 0.2500)  4 Cd 2.75, 4 Rh 2.75
W (0.2500, 0.7500, 0.7500)  4 Cd 2.75, 4 Rh 2.75
W (0.7500, 0.2500, 0.7500)  4 Cd 2.75, 4 Rh 2.75
W (0.7500, 0.7500, 0.2500)  4 Cd 2.75, 4 Rh 2.75

Results
Formation energy, eV/atom: 0.456
Distance to the lowest polymorph of the same formula, kJ/mol of atoms: 63.5


No. 12
Cd2RhW: relaxed, PBE.

Cell: 7.5777 7.5777 5.3198 Å, 90.00 90.00 90.00°
Closest atoms and distances in Å follow each position.
Atoms (fractional coordinates):
Cd (0.2364, 0.2500, 0.1250)  2 Cd 2.67, 2 Rh 2.69, 2 W 2.83
Cd (0.2500, 0.7364, 0.3750)  2 Cd 2.67, 2 Rh 2.69, 2 W 2.83
Cd (0.2500, 0.7636, 0.8750)  2 Cd 2.67, 2 Rh 2.69, 2 W 2.83
Cd (0.2636, 0.2500, 0.6250)  2 Cd 2.67, 2 Rh 2.69, 2 W 2.83
Cd (0.7364, 0.7500, 0.6250)  2 Cd 2.67, 2 Rh 2.69, 2 W 2.83
Cd (0.7500, 0.2364, 0.8750)  2 Cd 2.67, 2 Rh 2.69, 2 W 2.83
Cd (0.7500, 0.2636, 0.3750)  2 Cd 2.67, 2 Rh 2.69, 2 W 2.83
Cd (0.7636, 0.7500, 0.1250)  2 Cd 2.67, 2 Rh 2.69, 2 W 2.83
Rh (0.0000, 0.0000, 0.0000)  2 W 2.66, 4 Cd 2.69
Rh (0.0000, 0.5000, 0.2500)  2 W 2.66, 4 Cd 2.69
Rh (0.5000, 0.0000, 0.7500)  2 W 2.66, 4 Cd 2.69
Rh (0.5000, 0.5000, 0.5000)  2 W 2.66, 4 Cd 2.69
W (0.0000, 0.0000, 0.5000)  2 Rh 2.66, 4 Cd 2.83
W (0.0000, 0.5000, 0.7500)  2 Rh 2.66, 4 Cd 2.83
W (0.5000, 0.0000, 0.2500)  2 Rh 2.66, 4 Cd 2.83
W (0.5000, 0.5000, 0.0000)  2 Rh 2.66, 4 Cd 2.83

Results
Formation energy, eV/atom: 0.921
Distance to the lowest polymorph of the same formula, kJ/mol of atoms: 81.9


No. 13
Cd2RhW: relaxed, PBE.

Cell: 4.0385 4.0385 8.6688 Å, 90.00 90.00 90.00°
Closest atoms and distances in Å follow each position.
Atoms (fractional coordinates):
Cd (0.0000, 0.5000, 0.2500)  4 Cd 2.86, 4 W 2.96, 4 Rh 2.96
Cd (0.0000, 0.5000, 0.7500)  4 Cd 2.86, 4 W 2.96, 4 Rh 2.96
Cd (0.5000, 0.0000, 0.2500)  4 Cd 2.86, 4 W 2.96, 4 Rh 2.96
Cd (0.5000, 0.0000, 0.7500)  4 Cd 2.86, 4 W 2.96, 4 Rh 2.96
Rh (0.0000, 0.0000, 0.0000)  4 W 2.86, 8 Cd 2.96
Rh (0.5000, 0.5000, 0.5000)  4 W 2.86, 8 Cd 2.96
W (0.0000, 0.0000, 0.5000)  4 Rh 2.86, 8 Cd 2.96
W (0.5000, 0.5000, 0.0000)  4 Rh 2.86, 8 Cd 2.96

Results
Formation energy, eV/atom: 0.572
Distance to the lowest polymorph of the same formula, kJ/mol of atoms: 48.2


No. 14
Cd2RhW: relaxed, PBE.

Cell: 6.5399 6.5399 6.5399 Å, 90.00 90.00 90.00°
Closest atoms and distances in Å follow each position.
Atoms (fractional coordinates):
Cd (0.2500, 0.2500, 0.2500)  4 W 2.83, 4 Rh 2.83
Cd (0.2500, 0.2500, 0.7500)  4 W 2.83, 4 Rh 2.83
Cd (0.2500, 0.7500, 0.2500)  4 W 2.83, 4 Rh 2.83
Cd (0.2500, 0.7500, 0.7500)  4 W 2.83, 4 Rh 2.83
Cd (0.7500, 0.2500, 0.2500)  4 W 2.83, 4 Rh 2.83
Cd (0.7500, 0.2500, 0.7500)  4 W 2.83, 4 Rh 2.83
Cd (0.7500, 0.7500, 0.2500)  4 W 2.83, 4 Rh 2.83
Cd (0.7500, 0.7500, 0.7500)  4 Rh 2.83, 4 W 2.83
Rh (0.0000, 0.0000, 0.0000)  8 Cd 2.83
Rh (0.0000, 0.5000, 0.5000)  8 Cd 2.83
Rh (0.5000, 0.0000, 0.5000)  8 Cd 2.83
Rh (0.5000, 0.5000, 0.0000)  8 Cd 2.83
W (0.0000, 0.0000, 0.5000)  8 Cd 2.83
W (0.0000, 0.5000, 0.0000)  8 Cd 2.83
W (0.5000, 0.0000, 0.0000)  8 Cd 2.83
W (0.5000, 0.5000, 0.5000)  8 Cd 2.83

Results
Formation energy, eV/atom: 0.689
Distance to the lowest polymorph of the same formula, kJ/mol of atoms: 59.6